! Ho5Tm3In2 | Alexandria via LeMat-Bulk | PBE | relaxed; values from VASP
! total magnetization: 0.00 Bohr magnetons per cell
! energy relative to the elements: 0.14 eV per atom
! SG: No. 72
&SYSTEM
  ibrav = 0, nat = 20, ntyp = 3
/
ATOMIC_SPECIES
Ho 164.93 Ho.upf
Tm 168.93 Tm.upf
In 114.82 In.upf
ATOMIC_POSITIONS angstrom
Ho 1.6125 2.5692 0.0000
Ho 0.0000 0.0000 1.5641
Ho 3.1701 0.0000 1.5641
Ho 9.4791 0.0000 1.5641
Ho 7.9371 5.2381 0.0000
Ho -1.6125 2.5692 3.1282
Ho -3.1545 7.8073 1.5641
Ho 3.1545 7.8073 1.5641
Ho 0.0000 0.0000 4.6923
Ho 4.7121 5.2381 3.1282
Tm 4.9826 3.5383 0.0000
Tm 6.3246 0.0000 1.5641
Tm 4.9826 -3.5383 3.1282
Tm 1.3420 11.3456 0.0000
Tm 0.0000 7.8073 1.5641
Tm 1.3420 4.2690 3.1282
In 8.0376 2.2885 0.0000
In 1.7131 5.5188 0.0000
In 4.6115 2.2885 3.1282
In -1.7131 5.5188 3.1282
CELL_PARAMETERS angstrom
-6.3246 7.8073 3.1282
6.3246 -7.8073 3.1282
6.3246 7.8073 -3.1282